Compound: Cs2CaSn
Source: Alexandria
Functional: PBE-GGA
Structure: optimized geometry

Results
- Final energy: -1.77 eV/atom
- Size of the total moment: 0.000 μB/cell
- Excess energy over the best structure of this formula in the dataset: 0 meV/atom

Unit cell a=14.590 b=14.590 c=14.590 alpha=160.04 beta=160.04 gamma=28.38
Fractional positions:
1 Cs 0.123 0.625 0.998
2 Cs 0.375 0.373 0.498
3 Cs 0.627 0.125 0.002
4 Cs 0.875 0.877 0.502
5 Ca 0.250 0.750 0.500
6 Ca 0.500 0.500 0.000
7 Sn 0.000 0.000 0.000
8 Sn 0.750 0.250 0.500